# 1
Below is crystalline Y2TaPb at its relaxed geometry, with properties calculated at the GGA-PBE level.

E, eV for the cell shown: -27.8
Energy of formation, eV/f.u.: 0.71
Symmetry: P4mm, No. 99

Lattice parameters (Å, degrees): 3.7647 3.7647 7.3808 90.00 90.00 90.00
Atoms (fractional coordinates):
Y 0.0000 0.0000 0.0000
Y 0.5000 0.5000 0.3168
Ta 0.5000 0.5000 0.7547
Pb 0.0000 0.0000 0.5649

# 2
Below is crystalline Pm2Pr4HoMg at its relaxed geometry, with properties calculated at the GGA-PBE level.

E, eV for the cell shown: -34.8
Energy of formation, eV/f.u.: 0.03
Symmetry: P4/mmm, No. 123

Lattice parameters (Å, degrees): 5.1166 5.1166 10.1919 90.00 90.00 90.00
Atoms (fractional coordinates):
Pm 0.0000 0.0000 0.0000
Pm 0.5000 0.5000 0.5000
Pr 0.0000 0.5000 0.2472
Pr 0.0000 0.5000 0.7528
Pr 0.5000 0.0000 0.2472
Pr 0.5000 0.0000 0.7528
Ho 0.0000 0.0000 0.5000
Mg 0.5000 0.5000 0.0000

# 3
Below is crystalline RuN3F at its relaxed geometry, with properties calculated at the GGA-PBE level.

Formation energy without anion corrections, meV/atom: 1276
E, eV for the cell shown: -29.7
Symmetry: Pm-3m, No. 221

Lattice parameters (Å, degrees): 3.8220 3.8220 3.8220 90.00 90.00 90.00
Atoms (fractional coordinates):
Ru 0.0000 0.0000 0.0000
N 0.0000 0.0000 0.5000
N 0.0000 0.5000 0.0000
N 0.5000 0.0000 0.0000
F 0.5000 0.5000 0.5000

# 4
Below is crystalline CePa2Cr at its relaxed geometry, with properties calculated at the GGA-PBE level.

ΔE to the lowest computed polymorph, kJ per mole of atoms: 17.7
E, eV for the cell shown: -99.1
Energy of formation, eV/f.u.: 1.52
Symmetry: R-3m, No. 166

Lattice parameters (Å, degrees): 3.1038 3.1038 31.0623 90.00 90.00 120.00
Atoms (fractional coordinates):
Ce 0.0000 0.0000 0.0000
Ce 0.3333 0.6667 0.6667
Ce 0.6667 0.3333 0.3333
Pa 0.0000 0.0000 0.0967
Pa 0.0000 0.0000 0.9033
Pa 0.3333 0.6667 0.5700
Pa 0.3333 0.6667 0.7634
Pa 0.6667 0.3333 0.2366
Pa 0.6667 0.3333 0.4300
Cr 0.0000 0.0000 0.5000
Cr 0.3333 0.6667 0.1667
Cr 0.6667 0.3333 0.8333

# 5
Below is crystalline Na3SbAs2Pd9 at its relaxed geometry, with properties calculated at the GGA-PBE level.

Formation energy without anion corrections, meV/atom: -217
E, eV for the cell shown: -67.4
Symmetry: P-3m1, No. 164

Lattice parameters (Å, degrees): 6.5919 6.5919 8.7633 90.00 90.00 120.00
Atoms (fractional coordinates):
Na 0.0000 0.0000 0.0000
Na 0.3333 0.6667 0.6983
Na 0.6667 0.3333 0.3017
Sb 0.0000 0.0000 0.5000
As 0.3333 0.6667 0.1757
As 0.6667 0.3333 0.8243
Pd 0.0000 0.5000 0.0000
Pd 0.1398 0.2797 0.2647
Pd 0.1398 0.8602 0.2647
Pd 0.2797 0.1398 0.7353
Pd 0.5000 0.0000 0.0000
Pd 0.5000 0.5000 0.0000
Pd 0.7203 0.8602 0.2647
Pd 0.8602 0.1398 0.7353
Pd 0.8602 0.7203 0.7353

# 6
Below is crystalline LiPm2Sb4Rh3 at its relaxed geometry, with properties calculated at the GGA-PBE level.

Formation energy without anion corrections, meV/atom: -776
E, eV for the cell shown: -57.7
Symmetry: P-4m2, No. 115

Lattice parameters (Å, degrees): 4.5267 4.5267 10.6655 90.00 90.00 90.00
Atoms (fractional coordinates):
Li 0.0000 0.0000 0.0000
Pm 0.0000 0.5000 0.7536
Pm 0.5000 0.0000 0.2464
Sb 0.0000 0.0000 0.5000
Sb 0.0000 0.5000 0.1337
Sb 0.5000 0.0000 0.8663
Sb 0.5000 0.5000 0.5000
Rh 0.0000 0.5000 0.3767
Rh 0.5000 0.0000 0.6233
Rh 0.5000 0.5000 0.0000

# 7
Below is crystalline HRuCN at its relaxed geometry, with properties calculated at the GGA-PBE level.

ΔE to the lowest computed polymorph, kJ per mole of atoms: 3.5
E, eV for the cell shown: -28.4
Symmetry: P1, No. 1

Lattice parameters (Å, degrees): 2.8212 2.8578 4.9749 75.01 73.56 60.47
Atoms (fractional coordinates):
H 0.0000 0.0000 0.0000
Ru 0.1279 0.3359 0.3999
C 0.3428 0.6236 0.6781
N 0.2140 0.6062 0.9527

# 8
Below is crystalline Cs3HoTa2O8 at its relaxed geometry, with properties calculated at the GGA-PBE level.

Formation energy without anion corrections, meV/atom: -2688
E, eV for the cell shown: -108.1
Symmetry: P-3m1, No. 164

Lattice parameters (Å, degrees): 6.3491 6.3491 8.5351 90.00 90.00 120.00
Atoms (fractional coordinates):
Cs 0.0000 0.0000 0.0000
Cs 0.3333 0.6667 0.7286
Cs 0.6667 0.3333 0.2714
Ho 0.0000 0.0000 0.5000
Ta 0.3333 0.6667 0.2779
Ta 0.6667 0.3333 0.7221
O 0.1700 0.3401 0.3468
O 0.1700 0.8300 0.3468
O 0.3333 0.6667 0.0641
O 0.3401 0.1700 0.6532
O 0.6599 0.8300 0.3468
O 0.6667 0.3333 0.9359
O 0.8300 0.1700 0.6532
O 0.8300 0.6599 0.6532